[1]
Compound: MnBeFe2
Source: the Alexandria database
Functional: PBE
Structure: optimized geometry

Lattice parameters (Å, degrees): 6.0980 6.0980 4.9195 51.70 51.70 90.00
Closest atoms and distances in Å follow each position.
Positions (direct):
Be1 0.5000 0.5000 0.0000  4 Fe 2.23, 2 Mn 2.37
Be2 0.2500 0.7500 0.5000  4 Fe 2.23, 2 Mn 2.37
Mn1 0.0000 0.0000 0.0000  4 Fe 2.24, 2 Be 2.37
Mn2 0.7500 0.2500 0.5000  4 Fe 2.24, 2 Be 2.37
Fe1 0.6234 0.1250 0.2500  2 Be 2.23, 2 Mn 2.24, 2 Fe 2.37
Fe2 0.1266 0.6250 0.2500  2 Be 2.23, 2 Mn 2.24, 2 Fe 2.37
Fe3 0.3750 0.3766 0.7500  2 Be 2.23, 2 Mn 2.24, 2 Fe 2.37
Fe4 0.8750 0.8734 0.7500  2 Be 2.23, 2 Mn 2.24, 2 Fe 2.37

Volume (A^3/atom): 11.009
DOS(E_F) (states/eV per cell): 12.8
Energy of formation from the pure elements (meV/atom): 576
Crystal system: tetragonal

---

[2]
Compound: MnBeFe2
Source: the Alexandria database
Functional: PBE
Structure: optimized geometry

Lattice parameters (Å, degrees): 3.8692 3.8692 3.8692 60.00 60.00 60.00
Closest atoms and distances in Å follow each position.
Positions (direct):
Be1 0.5000 0.5000 0.5000  4 Mn 2.37, 4 Fe 2.37
Mn1 0.7500 0.7500 0.7500  4 Be 2.37, 4 Fe 2.37
Fe1 0.0000 0.0000 0.0000  4 Fe 2.37, 4 Mn 2.37
Fe2 0.2500 0.2500 0.2500  4 Be 2.37, 4 Fe 2.37

Volume (A^3/atom): 10.239
DOS(E_F) (states/eV per cell): 3.6
Energy of formation from the pure elements (meV/atom): 15
Crystal system: cubic

---

[3]
Compound: MnBeFe2
Source: the Alexandria database
Functional: PBE
Structure: optimized geometry

Lattice parameters (Å, degrees): 3.8456 3.8456 2.7036 90.00 90.00 90.00
Closest atoms and distances in Å follow each position.
Positions (direct):
Be1 0.0000 0.5000 0.5000  8 Fe 2.35
Mn1 0.5000 0.0000 0.5000  8 Fe 2.35
Fe1 0.0000 0.0000 0.0000  4 Mn 2.35, 4 Be 2.35
Fe2 0.5000 0.5000 0.0000  4 Mn 2.35, 4 Be 2.35

Volume (A^3/atom): 9.996
DOS(E_F) (states/eV per cell): 6.0
Energy of formation from the pure elements (meV/atom): 47
Crystal system: tetragonal